No. 1
VASP calculation (PBE) on a relaxed structure of CsTl2RhBr8.

a b c (Å): 5.986 7.390 9.696
angles (deg): 88.73 72.52 85.58
Sites, in units of the cell vectors:
1 Cs 0.000 0.000 0.000
2 Tl 0.289 0.465 0.318
3 Tl 0.711 0.535 0.682
4 Rh 0.000 0.000 0.500
5 Br 0.154 0.228 0.627
6 Br 0.194 0.744 0.606
7 Br 0.250 0.498 0.993
8 Br 0.347 0.014 0.277
9 Br 0.653 0.986 0.723
10 Br 0.750 0.502 0.007
11 Br 0.806 0.256 0.394
12 Br 0.846 0.772 0.373

Results
Size of the total moment (μB/f.u.): 0.00
ΔE_f (raw) (meV/atom): -696

No. 2
VASP calculation (PBE) on a relaxed structure of Hf2CoBr4.

a b c (Å): 7.600 7.600 7.600
angles (deg): 140.01 140.01 57.83
Sites, in units of the cell vectors:
1 Hf 0.100 0.100 0.000
2 Hf 0.900 0.900 0.000
3 Co 0.500 0.500 0.000
4 Br 0.000 0.500 0.500
5 Br 0.306 0.306 0.000
6 Br 0.500 0.000 0.500
7 Br 0.694 0.694 0.000

Results
Size of the total moment (μB/f.u.): 0.19
ΔE_f (raw) (meV/atom): 247

Among the records above, which one has the lowest size of the total moment?
CsTl2RhBr8